DFT (PBE) results for Sm2Co12SiB3 after structural relaxation.

Its crystal system is trigonal. The volume comes out at 710.8 Å³/cell. For the energy relative to the elements, uncorrected, the calculation gives 138 meV/atom.

The structure belongs to space group R-3m (No. 166, hexagonal axes); the cell edges are 7.4028, 7.4028 and 14.9770 Å and the angles 90.00°, 90.00° and 120.00°. The distinct sites, in fractional coordinates, are Sm at (0.0000, 0.0000, 0.1027), Co at (0.0015, 0.5007, 0.8732), Co at (0.0769, 0.5384, 0.3136), Si at (0.0000, 0.0000, 0.5000) and B at (0.0000, 0.5000, 0.0000).



DFT (PBE) results for Zr3HgAu2 after structural relaxation.

Its crystal system is tetragonal. The calculation puts the formation energy at -0.378 eV per atom. The volume comes out at 122.8 Å³/cell. The calculation puts the polymorph energy (0 for the lowest one) at 0.000 eV/atom.

The structure belongs to space group P4/mmm (No. 123); the cell edges are 3.151, 3.151 and 12.372 Å and the angles 90.00°, 90.00° and 90.00°. The distinct sites, in fractional coordinates, are Zr at (0.000, 0.000, 0.000), Zr at (0.000, 0.000, 0.325), Hg at (0.500, 0.500, 0.500) and Au at (0.500, 0.500, 0.164).



DFT (PBE) results for Li2Mg3Tl8 after structural relaxation.

Its crystal system is monoclinic. The calculation puts the formation energy at -0.024 eV per atom. The volume comes out at 344.7 Å³/cell. The calculation puts the polymorph energy (0 for the lowest one) at 0.000 eV/atom.

The structure belongs to space group P2/m (No. 10); the cell edges are 8.594, 4.953 and 8.657 Å and the angles 90.00°, 110.70° and 90.00°. The distinct sites, in fractional coordinates, are Li at (0.246, 0.000, 0.254), Mg at (0.000, 0.000, 0.500), Mg at (0.235, 0.500, 0.735), Tl at (0.132, 0.000, 0.898), Tl at (0.147, 0.500, 0.356), Tl at (0.375, 0.500, 0.121) and Tl at (0.398, 0.000, 0.632).



DFT (PBE) results for KFeHSe2 after structural relaxation.

Its crystal system is tetragonal. The total energy comes out at -18.244 eV for the cell shown. The volume comes out at 87.7 Å³/cell.

The structure belongs to space group P4/mmm (No. 123); the cell edges are 5.253, 5.253 and 3.179 Å and the angles 90.00°, 90.00° and 90.00°. The distinct sites, in fractional coordinates, are K at (0.000, 0.000, 0.000), Fe at (0.500, 0.500, 0.000), H at (0.500, 0.500, 0.500) and Se at (0.000, 0.500, 0.500).



DFT (PBE) results for K2ScAuI6 after structural relaxation.

Its crystal system is trigonal. The volume comes out at 1299.6 Å³/cell. The calculation puts the polymorph energy (0 for the lowest one) at 0.000 eV/atom. For the energy relative to the elements, uncorrected, the calculation gives -1064 meV/atom.

The structure belongs to space group R3 (No. 146, hexagonal axes); the cell edges are 8.3032, 8.3032 and 21.7639 Å and the angles 90.00°, 90.00° and 120.00°. The distinct sites, in fractional coordinates, are K at (0.0000, 0.0000, 0.0000), K at (0.0000, 0.0000, 0.4822), Sc at (0.0000, 0.0000, 0.7115), Au at (0.0000, 0.0000, 0.2939), I at (0.0154, 0.4209, 0.4458) and I at (0.0918, 0.7267, 0.2857).



DFT (PBE) results for Sr2PtAu2 after structural relaxation.

Its crystal system is tetragonal. The calculation puts the formation energy at -0.635 eV per atom. The volume comes out at 257.3 Å³/cell. The calculation puts the polymorph energy (0 for the lowest one) at 0.115 eV/atom.

The structure belongs to space group P4/mbm (No. 127); the cell edges are 7.689, 7.689 and 4.352 Å and the angles 90.00°, 90.00° and 90.00°. The distinct sites, in fractional coordinates, are Sr at (0.178, 0.322, 0.000), Pt at (0.000, 0.000, 0.500) and Au at (0.131, 0.631, 0.500).



DFT (PBE) results for LaCo2Au after structural relaxation.

Its crystal system is monoclinic. The calculation puts the formation energy at 0.047 eV per atom. The volume comes out at 85.3 Å³/cell.

The structure belongs to space group P2/m (No. 10); the cell edges are 4.032, 4.331 and 4.882 Å and the angles 90.00°, 90.07° and 90.00°. The distinct sites, in fractional coordinates, are La at (0.000, 0.000, 0.000), Co at (0.499, 0.500, 0.776) and Au at (0.500, 0.000, 0.500).



DFT (PBE) results for PrEr2PuP4 after structural relaxation.

Its crystal system is monoclinic. The calculation puts the formation energy at -1.448 eV per atom. The volume comes out at 185.6 Å³/cell.

The structure belongs to space group P2/m (No. 10); the cell edges are 6.970, 4.043 and 6.988 Å and the angles 90.00°, 109.52° and 90.00°. The distinct sites, in fractional coordinates, are Pr at (0.000, 0.000, 0.000), Er at (0.500, 0.000, 0.500), Er at (0.500, 0.500, 0.000), Pu at (0.000, 0.500, 0.500), P at (0.253, 0.000, 0.744) and P at (0.259, 0.500, 0.260).